Entry 1:
A relaxed structure of HfBRh3, computed with PBE.

* M_tot: 0.000 μB/atom
* energy relative to the elements: -0.678 eV/atom
* crystal system: orthorhombic
* excess energy over the best structure of this formula in the dataset: 106 meV/atom
* electronic total energy: -84.15 eV/cell

POSCAR file:
```
HfBRh3
1.0
-2.8309 2.8686 4.3266
2.8309 -2.8686 4.3266
2.8309 2.8686 -4.3266
Hf B Rh
2 2 6
Cartesian
0.0000 0.0000 1.9593 Hf
0.0000 0.0000 6.6939 Hf
2.8309 0.0000 0.0000 B
0.0000 0.0000 4.3266 B
2.8309 0.0000 2.1714 Rh
1.3660 1.4545 0.0000 Rh
1.4649 -1.4141 4.3266 Rh
1.3660 4.2828 0.0000 Rh
1.4649 1.4141 4.3266 Rh
0.0000 2.8686 2.1553 Rh
```

Entry 2:
A relaxed structure of CaTiP2, computed with PBE.

* M_tot: 0.162 μB/atom
* energy relative to the elements: -0.504 eV/atom
* crystal system: cubic
* excess energy over the best structure of this formula in the dataset: 571 meV/atom
* electronic total energy: -22.73 eV/cell

POSCAR file:
```
CaTiP2
1.0
0.0000 3.2948 3.2948
3.2948 0.0000 3.2948
3.2948 3.2948 0.0000
Ca Ti P
1 1 2
Cartesian
0.0000 0.0000 0.0000 Ca
3.2948 3.2948 3.2948 Ti
1.6474 1.6474 1.6474 P
4.9421 4.9421 4.9421 P
```

Entry 3:
A relaxed structure of VBiOs2I, computed with PBE.

* M_tot: 0.695 μB/atom
* crystal system: tetragonal
* formation energy (no corrections): 12.844 eV per formula unit
* electronic total energy: -24.17 eV/cell

POSCAR file:
```
VBiOs2I
1.0
5.0940 0.0000 0.0000
0.0000 5.0940 0.0000
0.0000 0.0000 5.1623
V Bi Os I
1 1 2 1
Cartesian
0.0000 0.0000 0.0000 V
0.0000 0.0000 2.5811 Bi
0.0000 2.5470 2.5811 Os
2.5470 0.0000 2.5811 Os
2.5470 2.5470 0.0000 I
```

Entry 4:
A relaxed structure of LuSbIrRh, computed with PBE.

* M_tot: 0.000 μB/atom
* crystal system: cubic
* formation energy (no corrections): -2.425 eV per formula unit
* electronic total energy: -27.28 eV/cell

POSCAR file:
```
LuSbIrRh
1.0
0.0000 3.3060 3.3060
3.3060 0.0000 3.3060
3.3060 3.3060 0.0000
Lu Sb Ir Rh
1 1 1 1
Cartesian
0.0000 0.0000 0.0000 Lu
3.3060 3.3060 3.3060 Sb
4.9591 4.9591 4.9591 Ir
1.6530 1.6530 1.6530 Rh
```

Entry 5:
A relaxed structure of SrGa9Pt2, computed with PBE.

* M_tot: 0.000 μB/atom
* energy relative to the elements: -0.387 eV/atom
* crystal system: tetragonal
* electronic total energy: -91.30 eV/cell

POSCAR file:
```
SrGa9Pt2
1.0
-5.3075 5.3075 3.9425
5.3075 -5.3075 3.9425
5.3075 5.3075 -3.9425
Sr Ga Pt
2 18 4
Cartesian
5.3075 2.6537 0.9856 Sr
0.0000 2.6537 2.9569 Sr
5.3075 -2.6537 2.9569 Ga
4.0234 -0.4989 1.4031 Ga
6.5916 -0.4989 1.4031 Ga
2.1548 1.3697 0.5682 Ga
8.4601 1.3697 0.5682 Ga
4.0234 4.8086 -1.4031 Ga
1.2841 -0.4989 2.5394 Ga
2.1548 3.9378 0.5682 Ga
3.1527 -1.3697 4.5107 Ga
2.1548 6.6771 -0.5682 Ga
3.1527 1.3697 3.3744 Ga
4.0234 5.8064 1.4031 Ga
1.2841 0.4989 5.3456 Ga
-3.1527 3.9378 3.3744 Ga
3.1527 3.9378 3.3744 Ga
-1.2841 5.8064 2.5394 Ga
1.2841 5.8064 2.5394 Ga
0.0000 7.9612 0.9856 Ga
0.0000 0.0000 0.0000 Pt
2.6537 2.6537 -1.9713 Pt
2.6537 -2.6537 1.9713 Pt
0.0000 5.3075 0.0000 Pt
```